This record from the Alexandria database describes a geometry-optimized LiVP4O12 structure. The functional is PBE+U.

The energy above the most stable polymorph in this dataset is 0.98 kJ/mol of atoms. The density is 2.233 Mg/m³. The calculation puts the magnetic moment at 2.0 μB/f.u.

The structure in CIF format:
```
data_LiVP4O12
_symmetry_space_group_name_H-M 'P 1'
_symmetry_Int_Tables_number 1
_cell_length_a 10.6454
_cell_length_b 10.6454
_cell_length_c 5.2916
_cell_angle_alpha 99.80
_cell_angle_beta 99.80
_cell_angle_gamma 71.49
loop_
_symmetry_equiv_pos_as_xyz
'x,y,z'
loop_
_atom_site_label
_atom_site_fract_x
_atom_site_fract_y
_atom_site_fract_z
_atom_site_occupancy
Li1 0.0972 0.0972 0.0099 1
Li2 0.9028 0.9028 0.9901 1
V1 0.0000 0.5000 0.5000 1
V2 0.5000 0.0000 0.5000 1
P1 0.1366 0.7048 0.3313 1
P2 0.1955 0.4345 0.0374 1
P3 0.2952 0.8634 0.6687 1
P4 0.4345 0.1955 0.0374 1
P5 0.5655 0.8045 0.9626 1
P6 0.7048 0.1366 0.3313 1
P7 0.8045 0.5655 0.9626 1
P8 0.8634 0.2952 0.6687 1
O1 0.0587 0.8177 0.1856 1
O2 0.0660 0.6570 0.5046 1
O3 0.1059 0.4003 0.1895 1
O4 0.1626 0.4200 0.7475 1
O5 0.1823 0.9413 0.8144 1
O6 0.2119 0.5793 0.1364 1
O7 0.2682 0.7318 0.5000 1
O8 0.3430 0.9340 0.4954 1
O9 0.3475 0.3475 0.1067 1
O10 0.4003 0.1059 0.1895 1
O11 0.4200 0.1626 0.7475 1
O12 0.4207 0.7881 0.8636 1
O13 0.5793 0.2119 0.1364 1
O14 0.5800 0.8374 0.2525 1
O15 0.5997 0.8941 0.8105 1
O16 0.6525 0.6525 0.8933 1
O17 0.6570 0.0660 0.5046 1
O18 0.7318 0.2682 0.5000 1
O19 0.7881 0.4207 0.8636 1
O20 0.8177 0.0587 0.1856 1
O21 0.8374 0.5800 0.2525 1
O22 0.8941 0.5997 0.8105 1
O23 0.9340 0.3430 0.4954 1
O24 0.9413 0.1823 0.8144 1
```